[1]
## Tb2PmHo5In (PBE-GGA)

Data for a relaxed Tb2PmHo5In crystal.

Cell lengths 10.3628, 10.3628, 10.5271 Å; angles 90.00, 90.00, 149.97 degrees
Atoms (fractional coordinates):
Tb 0.1161 0.8839 0.5423
Tb 0.1161 0.8839 0.9577
Tb 0.8839 0.1161 0.0423
Tb 0.8839 0.1161 0.4577
Pm 0.2084 0.7916 0.2500
Pm 0.7916 0.2084 0.7500
Ho 0.0121 0.9879 0.2500
Ho 0.2905 0.7095 0.5488
Ho 0.2905 0.7095 0.9512
Ho 0.3864 0.6136 0.2500
Ho 0.5000 0.5000 0.0000
Ho 0.5000 0.5000 0.5000
Ho 0.6136 0.3864 0.7500
Ho 0.7095 0.2905 0.0488
Ho 0.7095 0.2905 0.4512
Ho 0.9879 0.0121 0.7500
In 0.4054 0.5946 0.7500
In 0.5946 0.4054 0.2500

For the density of states at the Fermi level, the calculation gives 24.6 states/eV per cell. The crystal system is orthorhombic. The magnetic moment comes out at 0.00 μB/f.u. The calculation puts the formation energy at -0.01 eV per atom.


[2]
## TaPRu2O (PBE-GGA)

Data for a relaxed TaPRu2O crystal.

Cell lengths 4.8507, 4.8507, 3.7683 Å; angles 90.00, 90.00, 90.00 degrees
Atoms (fractional coordinates):
Ta 0.0000 0.0000 0.0000
P 0.5000 0.5000 0.5000
Ru 0.0000 0.5000 0.0000
Ru 0.5000 0.0000 0.0000
O 0.0000 0.0000 0.5000

For the density of states at the Fermi level, the calculation gives 5.3 states/eV per cell. The crystal system is tetragonal. The uncorrected formation energy comes out at 0.560 eV/atom. The magnetic moment comes out at 0.38 μB/f.u.


[3]
## BPt (PBE-GGA)

Data for a relaxed BPt crystal.

Cell lengths 5.6346, 5.6346, 3.6032 Å; angles 90.00, 90.00, 90.00 degrees
Atoms (fractional coordinates):
B 0.1616 0.1616 0.0000
B 0.3384 0.6616 0.5000
B 0.6616 0.3384 0.5000
B 0.8384 0.8384 0.0000
Pt 0.2074 0.7926 0.0000
Pt 0.2926 0.2926 0.5000
Pt 0.7074 0.7074 0.5000
Pt 0.7926 0.2074 0.0000

For the density of states at the Fermi level, the calculation gives 2.2 states/eV per cell. The crystal system is tetragonal. The magnetic moment comes out at 0.00 μB/f.u. The calculation puts the formation energy at 0.09 eV per atom.


[4]
## PmSi2Tc4 (PBE-GGA)

Data for a relaxed PmSi2Tc4 crystal.

Cell lengths 4.1384, 13.8539, 4.1178 Å; angles 90.00, 90.00, 90.00 degrees
Atoms (fractional coordinates):
Pm 0.0000 0.0000 0.0000
Pm 0.5000 0.5000 0.0000
Si 0.0000 0.4104 0.5000
Si 0.0000 0.5896 0.5000
Si 0.5000 0.0896 0.5000
Si 0.5000 0.9104 0.5000
Tc 0.0000 0.1905 0.5000
Tc 0.0000 0.3041 0.0000
Tc 0.0000 0.6959 0.0000
Tc 0.0000 0.8095 0.5000
Tc 0.5000 0.1959 0.0000
Tc 0.5000 0.3095 0.5000
Tc 0.5000 0.6905 0.5000
Tc 0.5000 0.8041 0.0000

For the density of states at the Fermi level, the calculation gives 8.7 states/eV per cell. The crystal system is orthorhombic. The uncorrected formation energy comes out at -0.515 eV/atom. The magnetic moment comes out at 0.00 μB/f.u.


[5]
## BaTl7Hg12 (PBE-GGA)

Data for a relaxed BaTl7Hg12 crystal.

Cell lengths 9.8746, 9.8746, 9.8746 Å; angles 109.47, 109.47, 109.47 degrees
Atoms (fractional coordinates):
Ba 0.0000 0.0000 0.0000
Tl 0.0000 0.0000 0.5000
Tl 0.0000 0.5000 0.0000
Tl 0.0000 0.5000 0.5000
Tl 0.5000 0.0000 0.0000
Tl 0.5000 0.0000 0.5000
Tl 0.5000 0.5000 0.0000
Tl 0.5000 0.5000 0.5000
Hg 0.1220 0.2731 0.8489
Hg 0.1511 0.4243 0.2731
Hg 0.1511 0.8780 0.7269
Hg 0.2731 0.1511 0.4243
Hg 0.2731 0.8489 0.1220
Hg 0.4243 0.2731 0.1511
Hg 0.5757 0.7269 0.8489
Hg 0.7269 0.1511 0.8780
Hg 0.7269 0.8489 0.5757
Hg 0.8489 0.1220 0.2731
Hg 0.8489 0.5757 0.7269
Hg 0.8780 0.7269 0.1511

For the density of states at the Fermi level, the calculation gives 11.5 states/eV per cell. The crystal system is cubic. The magnetic moment comes out at 0.00 μB/f.u. The calculation puts the formation energy at 0.06 eV per atom.


[6]
## AcEr4Se6 (PBE-GGA)

Data for a relaxed AcEr4Se6 crystal.

Cell lengths 6.9569, 6.9569, 20.7707 Å; angles 90.00, 90.00, 145.74 degrees
Atoms (fractional coordinates):
Ac 0.1566 0.8434 0.7500
Ac 0.8434 0.1566 0.2500
Er 0.0947 0.9053 0.1226
Er 0.0947 0.9053 0.3774
Er 0.3586 0.6414 0.0370
Er 0.3586 0.6414 0.4630
Er 0.6414 0.3586 0.5370
Er 0.6414 0.3586 0.9630
Er 0.9053 0.0947 0.6226
Er 0.9053 0.0947 0.8774
Se 0.0000 0.0000 0.0000
Se 0.0000 0.0000 0.5000
Se 0.1708 0.8292 0.2500
Se 0.2646 0.7354 0.5907
Se 0.2646 0.7354 0.9093
Se 0.4567 0.5433 0.1601
Se 0.4567 0.5433 0.3399
Se 0.5433 0.4567 0.6601
Se 0.5433 0.4567 0.8399
Se 0.7354 0.2646 0.0907
Se 0.7354 0.2646 0.4093
Se 0.8292 0.1708 0.7500

For the density of states at the Fermi level, the calculation gives 6.7 states/eV per cell. The crystal system is orthorhombic. The uncorrected formation energy comes out at -1.839 eV/atom. The magnetic moment comes out at 0.00 μB/f.u.


[7]
## NbIn2N (PBE-GGA)

Data for a relaxed NbIn2N crystal.

Cell lengths 7.1530, 7.1530, 5.4990 Å; angles 90.00, 90.00, 90.00 degrees
Atoms (fractional coordinates):
Nb 0.0000 0.0000 0.0000
Nb 0.0000 0.5000 0.2500
Nb 0.5000 0.0000 0.7500
Nb 0.5000 0.5000 0.5000
In 0.1776 0.2500 0.6250
In 0.2500 0.6776 0.8750
In 0.2500 0.8224 0.3750
In 0.3224 0.2500 0.1250
In 0.6776 0.7500 0.1250
In 0.7500 0.1776 0.3750
In 0.7500 0.3224 0.8750
In 0.8224 0.7500 0.6250
N 0.0000 0.0000 0.5000
N 0.0000 0.5000 0.7500
N 0.5000 0.0000 0.2500
N 0.5000 0.5000 0.0000

For the density of states at the Fermi level, the calculation gives 15.1 states/eV per cell. The crystal system is tetragonal. The uncorrected formation energy comes out at 0.665 eV/atom. The magnetic moment comes out at 0.00 μB/f.u.


[8]
## TmScCoCu (PBE-GGA)

Data for a relaxed TmScCoCu crystal.

Cell lengths 6.5465, 6.5465, 6.5465 Å; angles 90.00, 90.00, 90.00 degrees
Atoms (fractional coordinates):
Tm 0.0000 0.0000 0.0000
Tm 0.0000 0.5000 0.5000
Tm 0.5000 0.0000 0.5000
Tm 0.5000 0.5000 0.0000
Sc 0.0000 0.0000 0.5000
Sc 0.0000 0.5000 0.0000
Sc 0.5000 0.0000 0.0000
Sc 0.5000 0.5000 0.5000
Co 0.2500 0.2500 0.2500
Co 0.2500 0.7500 0.7500
Co 0.7500 0.2500 0.7500
Co 0.7500 0.7500 0.2500
Cu 0.2500 0.2500 0.7500
Cu 0.2500 0.7500 0.2500
Cu 0.7500 0.2500 0.2500
Cu 0.7500 0.7500 0.7500

For the density of states at the Fermi level, the calculation gives 16.1 states/eV per cell. The calculation puts the energy above the most stable polymorph in this dataset at 0.08 eV/f.u. The crystal system is cubic. The magnetic moment comes out at 0.26 μB/f.u. The calculation puts the formation energy at -0.26 eV per atom.


What did the first record say?
## Tb2PmHo5In (PBE-GGA)

Data for a relaxed Tb2PmHo5In crystal.

Cell lengths 10.3628, 10.3628, 10.5271 Å; angles 90.00, 90.00, 149.97 degrees
Atoms (fractional coordinates):
Tb 0.1161 0.8839 0.5423
Tb 0.1161 0.8839 0.9577
Tb 0.8839 0.1161 0.0423
Tb 0.8839 0.1161 0.4577
Pm 0.2084 0.7916 0.2500
Pm 0.7916 0.2084 0.7500
Ho 0.0121 0.9879 0.2500
Ho 0.2905 0.7095 0.5488
Ho 0.2905 0.7095 0.9512
Ho 0.3864 0.6136 0.2500
Ho 0.5000 0.5000 0.0000
Ho 0.5000 0.5000 0.5000
Ho 0.6136 0.3864 0.7500
Ho 0.7095 0.2905 0.0488
Ho 0.7095 0.2905 0.4512
Ho 0.9879 0.0121 0.7500
In 0.4054 0.5946 0.7500
In 0.5946 0.4054 0.2500

For the density of states at the Fermi level, the calculation gives 24.6 states/eV per cell. The crystal system is orthorhombic. The magnetic moment comes out at 0.00 μB/f.u. The calculation puts the formation energy at -0.01 eV per atom.


Number 1 is which compound? Tb2PmHo5In